First-principles (PBE) data for an optimized crystal structure of Pr2AuSe3, as listed in the Open Quantum Materials Database.

Values from the calculation:
VASP energy = -126.51 eV/cell
Magnetization = 0.0 μB/f.u.
Crystal system = orthorhombic

Cell lengths 8.148, 4.137, 18.351 Å; angles 90.00, 90.00, 90.00 degrees
Space group Pnma (No. 62)
Inequivalent atoms, fractional coordinates:
Pr (0.046, 0.250, 0.206) [4 per cell]
Pr (0.224, 0.750, 0.501) [4 per cell]
Au (0.072, 0.250, 0.608) [4 per cell]
Se (0.049, 0.750, 0.082) [4 per cell]
Se (0.147, 0.250, 0.388) [4 per cell]
Se (0.194, 0.250, 0.743) [4 per cell]

***

First-principles (PBE) data for an optimized crystal structure of NiMo4PbN2, as listed in the Open Quantum Materials Database.

Values from the calculation:
VASP energy = -68.16 eV/cell
Magnetization = 0.0 μB/f.u.
Crystal system = hexagonal

Cell lengths 3.2653, 3.2653, 12.2493 Å; angles 90.00, 90.00, 120.00 degrees
Space group P-6m2 (No. 187)
Inequivalent atoms, fractional coordinates:
Ni (0.0000, 0.0000, 0.0000) [1 per cell]
Mo (0.0000, 0.0000, 0.3034) [2 per cell]
Mo (0.3333, 0.6667, 0.1404) [2 per cell]
Pb (0.3333, 0.6667, 0.5000) [1 per cell]
N (0.6667, 0.3333, 0.2323) [2 per cell]

***

First-principles (PBE) data for an optimized crystal structure of SrLu2, as listed in the Open Quantum Materials Database.

Values from the calculation:
VASP energy = -79.47 eV/cell
Magnetization = 1.6 μB/f.u.
Crystal system = cubic

Cell lengths 9.703, 9.703, 9.703 Å; angles 90.00, 90.00, 90.00 degrees
Space group Fd-3m (No. 227, origin choice 2)
Inequivalent atoms, fractional coordinates:
Sr (0.125, 0.125, 0.125) [8 per cell]
Lu (0.000, 0.000, 0.500) [16 per cell]

***

First-principles (PBE) data for an optimized crystal structure of BeFeSn2, as listed in the Open Quantum Materials Database.

Values from the calculation:
VASP energy = -67.96 eV/cell
Magnetization = 2.3 μB/f.u.
Crystal system = cubic

Cell lengths 6.709, 6.709, 6.709 Å; angles 90.00, 90.00, 90.00 degrees
Space group F-43m (No. 216)
Inequivalent atoms, fractional coordinates:
Be (0.000, 0.000, 0.000) [4 per cell]
Fe (0.250, 0.250, 0.750) [4 per cell]
Sn (0.000, 0.000, 0.500) [4 per cell]
Sn (0.250, 0.250, 0.250) [4 per cell]

***

First-principles (PBE) data for an optimized crystal structure of ZnGeO3, as listed in the Open Quantum Materials Database.

Values from the calculation:
VASP energy = -56.43 eV/cell
Crystal system = orthorhombic

Cell lengths 8.224, 3.004, 4.734 Å; angles 90.00, 90.00, 90.00 degrees
Space group Pmma (No. 51)
Inequivalent atoms, fractional coordinates:
Zn (0.000, 0.000, 0.000) [2 per cell]
Ge (0.250, 0.500, 0.458) [2 per cell]
O (0.080, 0.500, 0.239) [4 per cell]
O (0.250, 0.000, 0.677) [2 per cell]

***

First-principles (PBE) data for an optimized crystal structure of Rb2CdBr4, as listed in the Open Quantum Materials Database.

Values from the calculation:
VASP energy = -76.90 eV/cell
Crystal system = monoclinic

Cell lengths 8.091, 9.906, 15.745 Å; angles 90.00, 118.07, 90.00 degrees
Space group P2_1/c (No. 14)
Inequivalent atoms, fractional coordinates:
Rb (0.026, 0.009, 0.318) [4 per cell]
Rb (0.356, 0.118, 0.098) [4 per cell]
Cd (0.325, 0.720, 0.080) [4 per cell]
Br (0.096, 0.658, 0.418) [4 per cell]
Br (0.252, 0.694, 0.718) [4 per cell]
Br (0.276, 0.040, 0.570) [4 per cell]
Br (0.335, 0.190, 0.872) [4 per cell]